{"formula": "InBi2Pd6", "functional": "PBE", "state": "relaxed", "total_magnetization_mub_per_cell": 0.000, "spacegroup": "No. 189", "dos_at_fermi_per_ev_atom": 0.35, "formation_enthalpy_0k_mev_per_atom": -313, "lattice_angstrom": [[7.609, 0.000, 0.000], [-3.804, 6.589, 0.000], [0.000, 0.000, 3.338]], "species": ["In", "Bi", "Bi", "Pd", "Pd", "Pd", "Pd", "Pd", "Pd"], "fractional_positions": [[0.000, 0.000, 0.000], [0.333, 0.667, 0.500], [0.667, 0.333, 0.500], [0.000, 0.286, 0.500], [0.000, 0.630, 0.000], [0.286, 0.000, 0.500], [0.370, 0.370, 0.000], [0.630, 0.000, 0.000], [0.714, 0.714, 0.500]]}

=====

{"formula": "InBiPd2", "functional": "PBE", "state": "relaxed", "total_magnetization_mub_per_cell": 0.000, "spacegroup": "No. 160", "dos_at_fermi_per_ev_atom": 0.34, "formation_enthalpy_0k_mev_per_atom": -265, "lattice_angstrom": [[3.488, 0.000, 0.000], [-1.744, 3.021, 0.000], [0.000, 0.000, 24.116]], "species": ["In", "In", "In", "Bi", "Bi", "Bi", "Pd", "Pd", "Pd", "Pd", "Pd", "Pd"], "fractional_positions": [[0.000, 0.000, 0.000], [0.333, 0.667, 0.667], [0.667, 0.333, 0.333], [0.000, 0.000, 0.833], [0.333, 0.667, 0.500], [0.667, 0.333, 0.166], [0.000, 0.000, 0.256], [0.000, 0.000, 0.411], [0.333, 0.667, 0.078], [0.333, 0.667, 0.922], [0.667, 0.333, 0.589], [0.667, 0.333, 0.744]]}

=====

{"formula": "InBi3Pd", "functional": "PBE", "state": "relaxed", "total_magnetization_mub_per_cell": 0.000, "spacegroup": "No. 12", "dos_at_fermi_per_ev_atom": 0.39, "formation_enthalpy_0k_mev_per_atom": -104, "lattice_angstrom": [[5.570, -4.578, 0.000], [5.570, 4.578, 0.000], [-4.404, 0.000, 5.581]], "species": ["In", "In", "Bi", "Bi", "Bi", "Bi", "Bi", "Bi", "Pd", "Pd"], "fractional_positions": [[0.058, 0.058, 0.260], [0.942, 0.942, 0.740], [0.005, 0.400, 0.737], [0.400, 0.005, 0.737], [0.433, 0.433, 0.674], [0.567, 0.567, 0.326], [0.600, 0.995, 0.263], [0.995, 0.600, 0.263], [0.250, 0.250, 0.124], [0.750, 0.750, 0.876]]}

=====

{"formula": "InBiPd5", "functional": "PBE", "state": "relaxed", "total_magnetization_mub_per_cell": 0.000, "spacegroup": "No. 63", "dos_at_fermi_per_ev_atom": 0.29, "formation_enthalpy_0k_mev_per_atom": -308, "lattice_angstrom": [[3.880, -2.889, 0.000], [3.880, 2.889, 0.000], [0.000, 0.000, 11.680]], "species": ["In", "In", "Bi", "Bi", "Pd", "Pd", "Pd", "Pd", "Pd", "Pd", "Pd", "Pd", "Pd", "Pd"], "fractional_positions": [[0.001, 0.999, 0.750], [0.999, 0.001, 0.250], [0.500, 0.500, 0.000], [0.500, 0.500, 0.500], [0.001, 0.499, 0.625], [0.001, 0.499, 0.875], [0.499, 0.001, 0.125], [0.499, 0.001, 0.375], [0.499, 0.501, 0.250], [0.501, 0.499, 0.750], [0.501, 0.999, 0.625], [0.501, 0.999, 0.875], [0.999, 0.501, 0.125], [0.999, 0.501, 0.375]]}

=====

{"formula": "In2BiPd", "functional": "PBE", "state": "relaxed", "total_magnetization_mub_per_cell": 0.000, "spacegroup": "No. 123", "dos_at_fermi_per_ev_atom": 0.40, "formation_enthalpy_0k_mev_per_atom": -161, "lattice_angstrom": [[3.324, 0.000, 0.000], [0.000, 3.324, 0.000], [0.000, 0.000, 8.561]], "species": ["In", "In", "Bi", "Pd"], "fractional_positions": [[0.000, 0.000, 0.196], [0.000, 0.000, 0.804], [0.500, 0.500, 0.500], [0.500, 0.500, 0.000]]}

=====

{"formula": "In2BiPd8", "functional": "PBE", "state": "relaxed", "total_magnetization_mub_per_cell": 0.000, "spacegroup": "No. 71", "dos_at_fermi_per_ev_atom": 0.28, "formation_enthalpy_0k_mev_per_atom": -341, "lattice_angstrom": [[-2.068, 3.805, 6.238], [2.068, -3.805, 6.238], [2.068, 3.805, -6.238]], "species": ["In", "In", "Bi", "Pd", "Pd", "Pd", "Pd", "Pd", "Pd", "Pd", "Pd"], "fractional_positions": [[0.170, 0.170, 0.000], [0.830, 0.830, 0.000], [0.500, 0.500, 0.000], [0.077, 0.334, 0.743], [0.226, 0.000, 0.226], [0.334, 0.834, 0.500], [0.408, 0.666, 0.743], [0.592, 0.334, 0.257], [0.666, 0.166, 0.500], [0.774, 0.000, 0.774], [0.923, 0.666, 0.257]]}

=====

{"formula": "InBi2Pd8", "functional": "PBE", "state": "relaxed", "total_magnetization_mub_per_cell": 0.000, "spacegroup": "No. 12", "dos_at_fermi_per_ev_atom": 0.52, "formation_enthalpy_0k_mev_per_atom": -194, "lattice_angstrom": [[3.803, -6.332, 0.000], [3.803, 6.332, 0.000], [-2.617, 0.000, 4.225]], "species": ["In", "Bi", "Bi", "Pd", "Pd", "Pd", "Pd", "Pd", "Pd", "Pd", "Pd"], "fractional_positions": [[0.000, 0.000, 0.000], [0.309, 0.691, 0.500], [0.691, 0.309, 0.500], [0.096, 0.318, 0.613], [0.215, 0.785, 0.000], [0.318, 0.096, 0.613], [0.402, 0.402, 0.171], [0.598, 0.598, 0.829], [0.682, 0.904, 0.387], [0.785, 0.215, 0.000], [0.904, 0.682, 0.387]]}

=====

{"formula": "InBi2Pd", "functional": "PBE", "state": "relaxed", "total_magnetization_mub_per_cell": 0.000, "spacegroup": "No. 160", "dos_at_fermi_per_ev_atom": 0.45, "formation_enthalpy_0k_mev_per_atom": -123, "lattice_angstrom": [[4.585, 0.000, 0.000], [-2.292, 3.971, 0.000], [0.000, 0.000, 18.656]], "species": ["In", "In", "In", "Bi", "Bi", "Bi", "Bi", "Bi", "Bi", "Pd", "Pd", "Pd"], "fractional_positions": [[0.000, 0.000, 0.000], [0.333, 0.667, 0.667], [0.667, 0.333, 0.333], [0.000, 0.000, 0.230], [0.000, 0.000, 0.440], [0.333, 0.667, 0.106], [0.333, 0.667, 0.897], [0.667, 0.333, 0.564], [0.667, 0.333, 0.773], [0.000, 0.000, 0.842], [0.333, 0.667, 0.508], [0.667, 0.333, 0.175]]}

=====

{"formula": "In2BiPd2", "functional": "PBE", "state": "relaxed", "total_magnetization_mub_per_cell": 0.000, "spacegroup": "No. 127", "dos_at_fermi_per_ev_atom": 0.35, "formation_enthalpy_0k_mev_per_atom": -323, "lattice_angstrom": [[8.082, 0.000, 0.000], [0.000, 8.082, 0.000], [0.000, 0.000, 3.199]], "species": ["In", "In", "In", "In", "Bi", "Bi", "Pd", "Pd", "Pd", "Pd"], "fractional_positions": [[0.149, 0.351, 0.000], [0.351, 0.851, 0.000], [0.649, 0.149, 0.000], [0.851, 0.649, 0.000], [0.000, 0.000, 0.500], [0.500, 0.500, 0.500], [0.146, 0.646, 0.500], [0.354, 0.146, 0.500], [0.646, 0.854, 0.500], [0.854, 0.354, 0.500]]}

=====

{"formula": "InBi2Pd8", "functional": "PBE", "state": "relaxed", "total_magnetization_mub_per_cell": 0.000, "spacegroup": "No. 71", "dos_at_fermi_per_ev_atom": 0.33, "formation_enthalpy_0k_mev_per_atom": -316, "lattice_angstrom": [[-2.039, 4.010, 6.126], [2.039, -4.010, 6.126], [2.039, 4.010, -6.126]], "species": ["In", "Bi", "Bi", "Pd", "Pd", "Pd", "Pd", "Pd", "Pd", "Pd", "Pd"], "fractional_positions": [[0.000, 0.000, 0.000], [0.341, 0.341, 0.000], [0.659, 0.659, 0.000], [0.087, 0.836, 0.251], [0.165, 0.665, 0.500], [0.248, 0.500, 0.748], [0.415, 0.164, 0.251], [0.585, 0.836, 0.749], [0.752, 0.500, 0.252], [0.835, 0.335, 0.500], [0.913, 0.164, 0.749]]}

=====

{"formula": "InBiPd", "functional": "PBE", "state": "relaxed", "total_magnetization_mub_per_cell": 0.000, "spacegroup": "No. 107", "dos_at_fermi_per_ev_atom": 0.46, "formation_enthalpy_0k_mev_per_atom": -201, "lattice_angstrom": [[3.362, 0.000, 0.000], [0.000, 3.362, 0.000], [0.000, 0.000, 12.341]], "species": ["In", "In", "Bi", "Bi", "Pd", "Pd"], "fractional_positions": [[0.000, 0.000, 0.000], [0.500, 0.500, 0.500], [0.000, 0.000, 0.718], [0.500, 0.500, 0.218], [0.000, 0.000, 0.368], [0.500, 0.500, 0.868]]}

=====

{"formula": "InBiPd2", "functional": "PBE", "state": "relaxed", "total_magnetization_mub_per_cell": 0.000, "spacegroup": "No. 59", "dos_at_fermi_per_ev_atom": 0.62, "formation_enthalpy_0k_mev_per_atom": -364, "lattice_angstrom": [[4.336, 0.000, 0.000], [0.000, 5.735, 0.000], [0.000, 0.000, 7.028]], "species": ["In", "In", "Bi", "Bi", "Pd", "Pd", "Pd", "Pd"], "fractional_positions": [[0.250, 0.250, 0.097], [0.750, 0.750, 0.903], [0.250, 0.750, 0.408], [0.750, 0.250, 0.592], [0.250, 0.502, 0.762], [0.250, 0.998, 0.762], [0.750, 0.002, 0.238], [0.750, 0.498, 0.238]]}

=====

{"formula": "InBiPd3", "functional": "PBE", "state": "relaxed", "total_magnetization_mub_per_cell": 0.000, "spacegroup": "No. 62", "dos_at_fermi_per_ev_atom": 0.31, "formation_enthalpy_0k_mev_per_atom": -282, "lattice_angstrom": [[7.649, 0.000, 0.000], [0.000, 7.447, 0.000], [0.000, 0.000, 6.977]], "species": ["In", "In", "In", "In", "Bi", "Bi", "Bi", "Bi", "Pd", "Pd", "Pd", "Pd", "Pd", "Pd", "Pd", "Pd", "Pd", "Pd", "Pd", "Pd"], "fractional_positions": [[0.000, 0.000, 0.000], [0.000, 0.500, 0.000], [0.500, 0.000, 0.500], [0.500, 0.500, 0.500], [0.137, 0.250, 0.417], [0.363, 0.750, 0.917], [0.637, 0.250, 0.083], [0.863, 0.750, 0.583], [0.114, 0.750, 0.270], [0.164, 0.548, 0.651], [0.164, 0.952, 0.651], [0.336, 0.048, 0.151], [0.336, 0.452, 0.151], [0.386, 0.250, 0.770], [0.614, 0.750, 0.230], [0.664, 0.548, 0.849], [0.664, 0.952, 0.849], [0.836, 0.048, 0.349], [0.836, 0.452, 0.349], [0.886, 0.250, 0.730]]}

=====

{"formula": "InBi5Pd4", "functional": "PBE", "state": "relaxed", "total_magnetization_mub_per_cell": 0.000, "spacegroup": "No. 12", "dos_at_fermi_per_ev_atom": 0.38, "formation_enthalpy_0k_mev_per_atom": -177, "lattice_angstrom": [[8.096, -1.761, 0.000], [8.096, 1.761, 0.000], [-0.117, 0.000, 8.777]], "species": ["In", "Bi", "Bi", "Bi", "Bi", "Bi", "Pd", "Pd", "Pd", "Pd"], "fractional_positions": [[0.000, 0.000, 0.000], [0.000, 0.000, 0.500], [0.323, 0.323, 0.621], [0.332, 0.332, 0.130], [0.668, 0.668, 0.870], [0.677, 0.677, 0.379], [0.154, 0.154, 0.128], [0.484, 0.484, 0.760], [0.516, 0.516, 0.240], [0.846, 0.846, 0.872]]}

=====

{"formula": "PmInBiPd", "functional": "PBE", "state": "relaxed", "total_magnetization_mub_per_cell": 0.000, "spacegroup": "No. 216", "dos_at_fermi_per_ev_atom": 0.70, "formation_enthalpy_0k_mev_per_atom": -399, "lattice_angstrom": [[7.390, 0.000, 0.000], [0.000, 7.390, 0.000], [0.000, 0.000, 7.390]], "species": ["Pm", "Pm", "Pm", "Pm", "In", "In", "In", "In", "Bi", "Bi", "Bi", "Bi", "Pd", "Pd", "Pd", "Pd"], "fractional_positions": [[0.000, 0.000, 0.000], [0.000, 0.500, 0.500], [0.500, 0.000, 0.500], [0.500, 0.500, 0.000], [0.250, 0.250, 0.250], [0.250, 0.750, 0.750], [0.750, 0.250, 0.750], [0.750, 0.750, 0.250], [0.000, 0.000, 0.500], [0.000, 0.500, 0.000], [0.500, 0.000, 0.000], [0.500, 0.500, 0.500], [0.250, 0.250, 0.750], [0.250, 0.750, 0.250], [0.750, 0.250, 0.250], [0.750, 0.750, 0.750]]}

=====

{"formula": "In2Bi2PdPt7", "functional": "PBE", "state": "relaxed", "total_magnetization_mub_per_cell": 0.000, "spacegroup": "No. 12", "dos_at_fermi_per_ev_atom": 0.88, "formation_enthalpy_0k_mev_per_atom": -167, "lattice_angstrom": [[2.808, -2.781, 0.000], [2.808, 2.781, 0.000], [-1.937, 0.000, 15.353]], "species": ["In", "In", "Bi", "Bi", "Pd", "Pt", "Pt", "Pt", "Pt", "Pt", "Pt", "Pt"], "fractional_positions": [[0.088, 0.088, 0.255], [0.912, 0.912, 0.745], [0.363, 0.363, 0.611], [0.637, 0.637, 0.389], [0.500, 0.500, 0.000], [0.000, 0.000, 0.000], [0.045, 0.545, 0.131], [0.167, 0.167, 0.437], [0.455, 0.955, 0.869], [0.545, 0.045, 0.131], [0.833, 0.833, 0.563], [0.955, 0.455, 0.869]]}

=====

{"formula": "InBiPdPt", "functional": "PBE", "state": "relaxed", "total_magnetization_mub_per_cell": 0.000, "spacegroup": "No. 216", "dos_at_fermi_per_ev_atom": 0.95, "formation_enthalpy_0k_mev_per_atom": -198, "lattice_angstrom": [[6.855, 0.000, 0.000], [0.000, 6.855, 0.000], [0.000, 0.000, 6.855]], "species": ["In", "In", "In", "In", "Bi", "Bi", "Bi", "Bi", "Pd", "Pd", "Pd", "Pd", "Pt", "Pt", "Pt", "Pt"], "fractional_positions": [[0.000, 0.000, 0.000], [0.000, 0.500, 0.500], [0.500, 0.000, 0.500], [0.500, 0.500, 0.000], [0.000, 0.000, 0.500], [0.000, 0.500, 0.000], [0.500, 0.000, 0.000], [0.500, 0.500, 0.500], [0.250, 0.250, 0.250], [0.250, 0.750, 0.750], [0.750, 0.250, 0.750], [0.750, 0.750, 0.250], [0.250, 0.250, 0.750], [0.250, 0.750, 0.250], [0.750, 0.250, 0.250], [0.750, 0.750, 0.750]]}

=====

{"formula": "InBi2Sb2Pd7", "functional": "PBE", "state": "relaxed", "total_magnetization_mub_per_cell": 0.000, "spacegroup": "No. 12", "dos_at_fermi_per_ev_atom": 0.38, "e_form_raw_kj_per_mol_fu": -407, "lattice_angstrom": [[2.882, -2.895, 0.000], [2.882, 2.895, 0.000], [-1.675, 0.000, 15.079]], "species": ["In", "Bi", "Bi", "Sb", "Sb", "Pd", "Pd", "Pd", "Pd", "Pd", "Pd", "Pd"], "fractional_positions": [[0.000, 0.000, 0.000], [0.130, 0.130, 0.406], [0.870, 0.870, 0.594], [0.429, 0.429, 0.755], [0.571, 0.571, 0.245], [0.039, 0.539, 0.134], [0.367, 0.367, 0.579], [0.461, 0.961, 0.866], [0.500, 0.500, 0.000], [0.539, 0.039, 0.134], [0.633, 0.633, 0.421], [0.961, 0.461, 0.866]]}

=====

{"formula": "In2SnBiPd", "functional": "PBE", "state": "relaxed", "total_magnetization_mub_per_cell": 0.000, "spacegroup": "No. 123", "dos_at_fermi_per_ev_atom": 0.88, "formation_enthalpy_0k_mev_per_atom": -34, "lattice_angstrom": [[5.215, 0.000, 0.000], [0.000, 5.215, 0.000], [0.000, 0.000, 5.294]], "species": ["In", "In", "Sn", "Bi", "Pd"], "fractional_positions": [[0.000, 0.500, 0.000], [0.500, 0.000, 0.000], [0.000, 0.000, 0.500], [0.500, 0.500, 0.500], [0.000, 0.000, 0.000]]}

=====

{"formula": "InSn2Bi2Pd7", "functional": "PBE", "state": "relaxed", "total_magnetization_mub_per_cell": 0.000, "spacegroup": "No. 12", "dos_at_fermi_per_ev_atom": 0.45, "formation_enthalpy_0k_mev_per_atom": -336, "lattice_angstrom": [[2.880, -2.843, 0.000], [2.880, 2.843, 0.000], [-1.924, 0.000, 14.950]], "species": ["In", "Sn", "Sn", "Bi", "Bi", "Pd", "Pd", "Pd", "Pd", "Pd", "Pd", "Pd"], "fractional_positions": [[0.000, 0.000, 0.000], [0.414, 0.414, 0.747], [0.586, 0.586, 0.253], [0.132, 0.132, 0.387], [0.868, 0.868, 0.613], [0.046, 0.546, 0.135], [0.339, 0.339, 0.565], [0.454, 0.954, 0.865], [0.500, 0.500, 0.000], [0.546, 0.046, 0.135], [0.661, 0.661, 0.435], [0.954, 0.454, 0.865]]}

=====

{"formula": "Sr2In3BiPd4", "functional": "PBE", "state": "relaxed", "total_magnetization_mub_per_cell": 0.000, "spacegroup": "No. 115", "dos_at_fermi_per_ev_atom": 0.49, "formation_enthalpy_0k_mev_per_atom": -596, "lattice_angstrom": [[4.818, 0.000, 0.000], [0.000, 4.818, 0.000], [0.000, 0.000, 10.639]], "species": ["Sr", "Sr", "In", "In", "In", "Bi", "Pd", "Pd", "Pd", "Pd"], "fractional_positions": [[0.000, 0.500, 0.236], [0.500, 0.000, 0.764], [0.000, 0.500, 0.884], [0.500, 0.000, 0.116], [0.500, 0.500, 0.500], [0.000, 0.000, 0.500], [0.000, 0.000, 0.000], [0.000, 0.500, 0.633], [0.500, 0.000, 0.367], [0.500, 0.500, 0.000]]}

=====

{"formula": "TlIn2BiPd", "functional": "PBE", "state": "relaxed", "total_magnetization_mub_per_cell": 0.000, "spacegroup": "No. 123", "dos_at_fermi_per_ev_atom": 0.61, "formation_enthalpy_0k_mev_per_atom": -37, "lattice_angstrom": [[5.197, 0.000, 0.000], [0.000, 5.197, 0.000], [0.000, 0.000, 5.607]], "species": ["Tl", "In", "In", "Bi", "Pd"], "fractional_positions": [[0.000, 0.000, 0.000], [0.000, 0.500, 0.500], [0.500, 0.000, 0.500], [0.500, 0.500, 0.000], [0.500, 0.500, 0.500]]}

=====

{"formula": "Pm6InBi2", "functional": "PBE", "state": "relaxed", "total_magnetization_mub_per_cell": 5.258, "spacegroup": "No. 189", "dos_at_fermi_per_ev_atom": 1.03, "formation_enthalpy_0k_mev_per_atom": -520, "lattice_angstrom": [[8.645, 0.000, 0.000], [-4.323, 7.487, 0.000], [0.000, 0.000, 4.524]], "species": ["Pm", "Pm", "Pm", "Pm", "Pm", "Pm", "In", "Bi", "Bi"], "fractional_positions": [[0.000, 0.252, 0.000], [0.000, 0.592, 0.500], [0.252, 0.000, 0.000], [0.408, 0.408, 0.500], [0.592, 0.000, 0.500], [0.748, 0.748, 0.000], [0.000, 0.000, 0.500], [0.333, 0.667, 0.000], [0.667, 0.333, 0.000]]}